Mg2PaMoO8: relaxed, GGA+U.

Lattice parameters (Å, degrees): 4.7537 4.7537 6.5819 90.00 90.00 91.75
Fractional positions:
Mg 0.0000 0.0000 0.2351
Mg 0.0000 0.0000 0.7649
Pa 0.5000 0.5000 0.5000
Mo 0.5000 0.5000 0.0000
O 0.1915 0.1915 0.5000
O 0.2132 0.2132 0.0000
O 0.3090 0.6910 0.2243
O 0.3090 0.6910 0.7757
O 0.6910 0.3090 0.2243
O 0.6910 0.3090 0.7757
O 0.7868 0.7868 0.0000
O 0.8085 0.8085 0.5000

Properties
The space group is Cmmm (65). The spin magnetization comes out at 0.000 μB per atom. For the total energy, the calculation gives -7.356 eV/atom.